Entry from Alexandria via LeMat-Bulk: Sr2NdPd9 after structural relaxation (PBE).

VASP energy (hartree per atom): -0.18891
Calculated density (g/cm3): 8.99
Total moment (μB/f.u.): 0.00
E_form (eV per atom): -0.57

Cell and atoms, written as POSCAR:
```
Sr2NdPd9
1.0
5.461 0.000 0.000
-2.730 4.729 0.000
0.000 0.000 18.261
Sr Nd Pd
4 2 18
Cartesian
0.000 3.153 9.856
2.730 1.576 0.726
2.730 1.576 8.405
0.000 3.153 17.535
0.000 3.153 13.696
2.730 1.576 4.565
0.000 0.000 0.000
0.000 0.000 9.130
0.000 0.000 4.565
0.000 0.000 13.696
0.000 3.153 4.565
2.730 1.576 13.696
0.000 1.583 2.299
1.360 3.938 2.299
-1.360 3.938 2.299
2.730 3.147 11.429
1.371 0.791 11.429
4.090 0.791 11.429
1.371 0.791 15.962
2.730 3.147 15.962
4.090 0.791 15.962
1.360 3.938 6.831
0.000 1.583 6.831
-1.360 3.938 6.831
```